Entry 1:
Crystalline Tm3LuC2S2 at its relaxed geometry, computed with GGA-PBE.

The structure in CIF format:
```
data_Tm3LuC2S2
_cell_length_a 3.6341
_cell_length_b 3.6341
_cell_length_c 12.6381
_cell_angle_alpha 90.00
_cell_angle_beta 90.00
_cell_angle_gamma 120.00
_space_group_name_H-M_alt 'P 3 m 1'
_space_group_IT_number 156
_space_group_name_Hall 'P 3 -2"'
loop_
_atom_site_label
_atom_site_fract_x
_atom_site_fract_y
_atom_site_fract_z
_atom_site_occupancy
Tm1 0.0000 0.0000 0.0000 1
Tm2 0.0000 0.0000 0.2937 1
Tm3 0.3333 0.6667 0.7926 1
Lu1 0.3333 0.6667 0.4996 1
C1 0.6667 0.3333 0.3974 1
C2 0.6667 0.3333 0.8963 1
S1 0.0000 0.0000 0.6452 1
S2 0.3333 0.6667 0.1465 1
```

Results
- Calculated total energy: -6.894 eV/atom
- Calculated volume: 144.5 Å³ per cell

Entry 2:
Crystalline TmLuCS at its relaxed geometry, computed with GGA-PBE.

The structure in CIF format:
```
data_TmLuCS
_cell_length_a 3.6257
_cell_length_b 3.6257
_cell_length_c 12.6066
_cell_angle_alpha 90.00
_cell_angle_beta 90.00
_cell_angle_gamma 120.00
_space_group_name_H-M_alt 'P -3 m 1'
_space_group_IT_number 164
_space_group_name_Hall '-P 3 2"'
loop_
_atom_site_label
_atom_site_fract_x
_atom_site_fract_y
_atom_site_fract_z
_atom_site_occupancy
Tm1 0.3333 0.6667 0.3960 1
Lu1 0.3333 0.6667 0.1024 1
C1 0.0000 0.0000 0.0000 1
C2 0.0000 0.0000 0.5000 1
S1 0.3333 0.6667 0.7513 1
```

Results
- Calculated total energy: -6.904 eV/atom
- Calculated volume: 143.5 Å³ per cell

Entry 3:
Crystalline TmLu3C2S2 at its relaxed geometry, computed with GGA-PBE.

The structure in CIF format:
```
data_TmLu3C2S2
_cell_length_a 3.6171
_cell_length_b 3.6171
_cell_length_c 12.5736
_cell_angle_alpha 90.00
_cell_angle_beta 90.00
_cell_angle_gamma 120.00
_space_group_name_H-M_alt 'P 3 m 1'
_space_group_IT_number 156
_space_group_name_Hall 'P 3 -2"'
loop_
_atom_site_label
_atom_site_fract_x
_atom_site_fract_y
_atom_site_fract_z
_atom_site_occupancy
Tm1 0.0000 0.0000 0.0000 1
Lu1 0.0000 0.0000 0.7057 1
Lu2 0.3333 0.6667 0.2069 1
Lu3 0.3333 0.6667 0.5005 1
C1 0.6667 0.3333 0.1042 1
C2 0.6667 0.3333 0.6030 1
S1 0.0000 0.0000 0.3533 1
S2 0.3333 0.6667 0.8520 1
```

Results
- Calculated total energy: -6.915 eV/atom
- Calculated volume: 142.5 Å³ per cell

Entry 4:
Crystalline TmLuCS at its relaxed geometry, computed with GGA-PBE.

The structure in CIF format:
```
data_TmLuCS
_cell_length_a 3.6249
_cell_length_b 3.6249
_cell_length_c 12.6050
_cell_angle_alpha 90.00
_cell_angle_beta 90.00
_cell_angle_gamma 120.00
_space_group_name_H-M_alt 'P 63 m c'
_space_group_IT_number 186
_space_group_name_Hall 'P 6c -2c'
loop_
_atom_site_label
_atom_site_fract_x
_atom_site_fract_y
_atom_site_fract_z
_atom_site_occupancy
Tm1 0.3333 0.6667 0.0000 1
Lu1 0.3333 0.6667 0.7063 1
C1 0.0000 0.0000 0.1038 1
S1 0.3333 0.6667 0.3519 1
```

Results
- Calculated total energy: -6.904 eV/atom
- Calculated volume: 143.4 Å³ per cell

Entry 5:
Crystalline TmLuCS at its relaxed geometry, computed with GGA-PBE.

The structure in CIF format:
```
data_TmLuCS
_cell_length_a 3.6256
_cell_length_b 3.6256
_cell_length_c 12.6061
_cell_angle_alpha 90.00
_cell_angle_beta 90.00
_cell_angle_gamma 120.00
_space_group_name_H-M_alt 'P -6 m 2'
_space_group_IT_number 187
_space_group_name_Hall 'P -6 2'
loop_
_atom_site_label
_atom_site_fract_x
_atom_site_fract_y
_atom_site_fract_z
_atom_site_occupancy
Tm1 0.0000 0.0000 0.1472 1
Lu1 0.3333 0.6667 0.3535 1
C1 0.6667 0.3333 0.2511 1
S1 0.0000 0.0000 0.5000 1
S2 0.3333 0.6667 0.0000 1
```

Results
- Calculated total energy: -6.904 eV/atom
- Calculated volume: 143.5 Å³ per cell

Entry 6:
Crystalline Lu4W2C3S3 at its relaxed geometry, computed with GGA-PBE.

The structure in CIF format:
```
data_Lu4W2C3S3
_cell_length_a 10.254
_cell_length_b 5.956
_cell_length_c 12.550
_cell_angle_alpha 90.00
_cell_angle_beta 105.19
_cell_angle_gamma 90.00
_space_group_name_H-M_alt 'C 1 2/c 1'
_space_group_IT_number 15
_space_group_name_Hall '-C 2yc'
loop_
_atom_site_label
_atom_site_fract_x
_atom_site_fract_y
_atom_site_fract_z
_atom_site_occupancy
Lu1 0.119 0.072 0.108 1
Lu2 0.209 0.088 0.392 1
W1 0.066 0.409 0.919 1
C1 0.077 0.269 0.500 1
C2 0.250 0.250 0.000 1
S1 0.000 0.125 0.750 1
S2 0.152 0.431 0.250 1
```

Results
- Calculated total energy: -7.979 eV/atom
- Calculated volume: 739.8 Å³ per cell

What did the first record say?
Crystalline Tm3LuC2S2 at its relaxed geometry, computed with GGA-PBE.

The structure in CIF format:
```
data_Tm3LuC2S2
_cell_length_a 3.6341
_cell_length_b 3.6341
_cell_length_c 12.6381
_cell_angle_alpha 90.00
_cell_angle_beta 90.00
_cell_angle_gamma 120.00
_space_group_name_H-M_alt 'P 3 m 1'
_space_group_IT_number 156
_space_group_name_Hall 'P 3 -2"'
loop_
_atom_site_label
_atom_site_fract_x
_atom_site_fract_y
_atom_site_fract_z
_atom_site_occupancy
Tm1 0.0000 0.0000 0.0000 1
Tm2 0.0000 0.0000 0.2937 1
Tm3 0.3333 0.6667 0.7926 1
Lu1 0.3333 0.6667 0.4996 1
C1 0.6667 0.3333 0.3974 1
C2 0.6667 0.3333 0.8963 1
S1 0.0000 0.0000 0.6452 1
S2 0.3333 0.6667 0.1465 1
```

Results
- Calculated total energy: -6.894 eV/atom
- Calculated volume: 144.5 Å³ per cell

> Among the records above, which one has the highest calculated volume?

Lu4W2C3S3

> calculated total energy of number 2 (TmLuCS)?

-6.904 eV/atom

> The lowest calculated volume belongs to which entry?

TmLu3C2S2